[1]
Below is a relaxed structure of Pr3Tl5S12, with properties calculated at the PBE-GGA level.

Cell: 16.218 16.218 16.218 Å, 90.00 90.00 90.00°
Space group Ia-3d (No. 230)
Symmetry-distinct sites (fractional):
Pr 0.000 0.250 0.125 (multiplicity 24)
Tl 0.000 0.000 0.000 (multiplicity 16)
Tl 0.000 0.250 0.375 (multiplicity 24)
S 0.020 0.065 0.653 (multiplicity 96)

Computed properties:
E_form (uncorrected) ... -15.57 eV per formula unit
Total moment ... 0.0 μB per formula unit
DFT total energy ... -4.563 eV per atom

---

[2]
Below is a relaxed structure of Pd, with properties calculated at the PBE-GGA level.

Cell: 7.090 7.090 7.090 Å, 90.00 90.00 90.00°
Space group Im-3m (No. 229)
Symmetry-distinct sites (fractional):
Pd 0.000 0.250 0.500 (multiplicity 12)

Computed properties:
ΔE_f ... 1135.0 meV per atom
Total moment ... 0.0 μB per formula unit
DFT total energy ... -4.058 eV per atom

---

[3]
Below is a relaxed structure of AlGaFe3, with properties calculated at the PBE-GGA level.

Cell: 4.409 4.409 4.409 Å, 90.00 90.00 90.00°
Space group Pm-3m (No. 221)
Symmetry-distinct sites (fractional):
Al 0.000 0.000 0.000 (multiplicity 1)
Ga 0.500 0.500 0.500 (multiplicity 1)
Fe 0.000 0.500 0.500 (multiplicity 3)

Computed properties:
ΔE_f ... 899.0 meV per atom
Total moment ... 7.2 μB per formula unit
DFT total energy ... -5.533 eV per atom

---

[4]
Below is a relaxed structure of Er2Co2Sn, with properties calculated at the PBE-GGA level.

Cell: 9.567 5.419 7.721 Å, 90.00 104.46 90.00°
Space group C2/c (No. 15)
Symmetry-distinct sites (fractional):
Er 0.148 0.150 0.148 (multiplicity 8)
Co 0.148 0.350 0.502 (multiplicity 8)
Sn 0.000 0.354 0.750 (multiplicity 4)

Computed properties:
ΔE_f ... -436.3 meV per atom
Total moment ... 0.4 μB per formula unit
DFT total energy ... -5.904 eV per atom

---

no.,DOS at the Fermi energy (states/eV/f.u.)
1,4.923
2,1.877
3,7.543
4,4.617